## Sr2Hg3Sb2 (PBE-GGA)

Data for a relaxed structure of Sr2Hg3Sb2.

Results
Raw formation energy (eV/atom): -0.555
SG: C2/m, No. 12
Magnetic moment (μB/f.u.): 0.0
D(E_F) (states/eV/f.u.): 1.1
Calculated volume (Å³/cell): 211

Unit cell a=6.355 b=6.355 c=7.132 alpha=93.70 beta=93.70 gamma=47.20
Fractional coordinates of all 7 atoms:
Sr1 0.117 0.117 0.251
Sr2 0.883 0.883 0.749
Hg1 0.389 0.389 0.075
Hg2 0.500 0.500 0.500
Hg3 0.611 0.611 0.925
Sb1 0.181 0.181 0.740
Sb2 0.819 0.819 0.260